1.
DFT (PBE) results for Y2Si4Ir3Pd after structural relaxation.

Cell lengths 4.128, 4.128, 9.976 Å; angles 90.00, 90.00, 90.00 degrees
Fractional coordinates of all 10 atoms:
Y  0.500  0.000  0.241
Y  0.000  0.500  0.759
Si  0.500  0.500  0.000
Si  0.000  0.000  0.000
Si  0.500  0.000  0.636
Si  0.000  0.500  0.364
Ir  0.000  0.000  0.500
Ir  0.500  0.000  0.873
Ir  0.000  0.500  0.127
Pd  0.500  0.500  0.500

Calculated values
The calculation puts the formation energy without anion corrections at -1.01 eV per atom. Its symmetry is P-4m2, No. 115. Its raw total energy is -7.65 eV per atom.

---

2.
DFT (PBE) results for CrSbPb2 after structural relaxation.

Cell lengths 3.474, 4.499, 6.811 Å; angles 90.00, 90.00, 90.00 degrees
Last column: magnetic moment on the atom in μB.
Fractional coordinates of all 4 atoms:
Cr  0.500  0.500  0.750  3.86
Pb  0.000  0.000  0.982  -0.02
Pb  0.000  0.000  0.518  -0.02
Sb  0.500  0.500  0.250  0.03

Calculated values
The calculation puts the formation energy without anion corrections at 0.43 eV per atom. Its symmetry is Pmmm, No. 47. Its raw total energy is -4.86 eV per atom.

---

3.
DFT (PBE) results for Ca2BiRhC after structural relaxation.

Cell lengths 5.248, 5.248, 3.931 Å; angles 90.00, 90.00, 90.00 degrees
Fractional coordinates of all 5 atoms:
C  0.000  0.000  0.000
Ca  0.000  0.500  0.000
Ca  0.500  0.000  0.000
Rh  0.000  0.000  0.500
Bi  0.500  0.500  0.500

Calculated values
As for the formation energy: -1.6 eV/f.u. Its symmetry is P4/mmm, No. 123. Its raw total energy is -5.20 eV per atom.

---

4.
DFT (PBE) results for AlTlCoCu2 after structural relaxation.

Cell lengths 4.831, 4.913, 4.831 Å; angles 90.00, 90.00, 90.00 degrees
Last column: magnetic moment on the atom in μB.
Fractional coordinates of all 5 atoms:
Tl  0.000  0.000  0.000  -0.02
Co  0.000  0.500  0.000  1.80
Al  0.500  0.500  0.500  0.01
Cu  0.000  0.000  0.500  0.01
Cu  0.500  0.000  0.000  0.03

Calculated values
As for the formation energy: 6.3 eV/f.u. Its symmetry is P4/mmm, No. 123. Its raw total energy is -3.03 eV per atom.

---

5.
DFT (PBE) results for AlS2N2 after structural relaxation.

Cell lengths 3.543, 3.543, 7.154 Å; angles 90.00, 90.00, 90.00 degrees
Fractional coordinates of all 5 atoms:
S  0.500  0.500  0.500
S  0.000  0.000  0.500
Al  0.000  0.000  0.000
N  0.000  0.500  0.000
N  0.500  0.000  0.000

Calculated values
The calculation puts the formation energy without anion corrections at 0.96 eV per atom. Its symmetry is P4/mmm, No. 123. Its raw total energy is -4.77 eV per atom. As for the energy above the most stable polymorph in this dataset: 0 meV/atom.

---

6.
DFT (PBE) results for KRbHg after structural relaxation.

Cell lengths 10.029, 5.346, 13.971 Å; angles 90.00, 123.44, 90.00 degrees
Fractional coordinates of all 12 atoms:
K  0.582  0.000  0.773
K  0.582  0.500  0.273
K  0.855  0.000  0.174
K  0.855  0.500  0.674
Hg  0.144  0.000  0.708
Hg  0.144  0.500  0.208
Hg  0.829  0.000  0.472
Hg  0.829  0.500  0.972
Rb  0.124  0.000  0.003
Rb  0.124  0.500  0.503
Rb  0.408  0.000  0.414
Rb  0.408  0.500  0.914

Calculated values
As for the formation energy: -0.5 eV/f.u. Its symmetry is Cm, No. 8. Its raw total energy is -0.95 eV per atom. As for the energy above the most stable polymorph in this dataset: 12 meV/atom.

---

7.
DFT (PBE) results for MnIr2W after structural relaxation.

Cell lengths 4.730, 4.730, 4.715 Å; angles 80.94, 80.94, 33.89 degrees
Last column: magnetic moment on the atom in μB.
Fractional coordinates of all 4 atoms:
Ir  0.003  0.003  0.012  -0.07
Ir  0.748  0.748  0.732  -0.08
Mn  0.496  0.496  0.519  2.54
W  0.254  0.254  0.237  -0.10

Calculated values
As for the formation energy: -0.5 eV/f.u. Its symmetry is Cm, No. 8. Its raw total energy is -10.08 eV per atom. As for the energy above the most stable polymorph in this dataset: 148 meV/atom.

---

8.
DFT (PBE) results for Rb2BHIr after structural relaxation.

Cell lengths 6.232, 3.941, 6.232 Å; angles 90.00, 90.00, 90.00 degrees
Last column: magnetic moment on the atom in μB.
Fractional coordinates of all 5 atoms:
H  0.500  0.500  0.500  0.10
B  0.000  0.000  0.000  0.12
Ir  0.000  0.500  0.000  0.33
Rb  0.000  0.000  0.500  0.00
Rb  0.500  0.000  0.000  0.00

Calculated values
Its symmetry is P4/mmm, No. 123. Its raw total energy is -3.54 eV per atom.